(1)
A relaxed structure of FeNiP. Source: Alexandria, functional PBE.

Results
- density of states at the Fermi level (states/eV/f.u.) = 2.30
- energy of formation from the pure elements (kcal/mol of atoms) = -10.74

Geometry as CIF:
```
data_FeNiP
_space_group_name_H-M_alt 'P -6 2 m'
_space_group_IT_number 189
_space_group_name_Hall 'P -6 -2'
_cell_length_a 5.7805
_cell_length_b 5.7805
_cell_length_c 3.4102
_cell_angle_alpha 90.00
_cell_angle_beta 90.00
_cell_angle_gamma 120.00
loop_
_atom_site_label
_atom_site_type_symbol
_atom_site_fract_x
_atom_site_fract_y
_atom_site_fract_z
Fe1 Fe 0.0000 0.4003 0.0000
Ni1 Ni 0.0000 0.7422 0.5000
P1 P 0.0000 0.0000 0.0000
P2 P 0.3333 0.6667 0.5000
```

=====

(2)
A relaxed structure of PaTlGa2Cl8. Source: Alexandria, functional PBE.

Results
- energy relative to the elements, uncorrected (eV per atom) = -1.347

Geometry as CIF:
```
data_PaTlGa2Cl8
_space_group_name_H-M_alt 'P -1'
_space_group_IT_number 2
_cell_length_a 6.958
_cell_length_b 7.110
_cell_length_c 9.203
_cell_angle_alpha 89.83
_cell_angle_beta 89.78
_cell_angle_gamma 88.46
loop_
_space_group_symop_operation_xyz
'x,y,z'
'-x,-y,-z'
loop_
_atom_site_label
_atom_site_type_symbol
_atom_site_fract_x
_atom_site_fract_y
_atom_site_fract_z
Pa1 Pa 0.000 0.000 0.000
Tl1 Tl 0.000 0.000 0.500
Ga1 Ga 0.500 0.500 0.288
Cl1 Cl 0.206 0.700 0.001
Cl2 Cl 0.215 0.136 0.798
Cl3 Cl 0.215 0.137 0.200
Cl4 Cl 0.294 0.651 0.500
```

=====

Number 1: ρ 7.35 g/cm3. Number 2: ρ 3.13 g/cm3.